Version i
ZrNbI2 (GGA-PBE, optimized geometry); space group = Fm-3m, No. 225
1.0
0.000 3.551 3.551
3.551 0.000 3.551
3.551 3.551 0.000
Zr Nb I
1 1 2
Direct
0.000 0.000 0.000 Zr
0.500 0.500 0.500 Nb
0.250 0.250 0.250 I
0.750 0.750 0.750 I

Version ii
ZrNbI2 (GGA-PBE, optimized geometry); space group = I-42d, No. 122
1.0
-3.420 3.420 5.546
3.420 -3.420 5.546
3.420 3.420 -5.546
Zr Nb I
2 2 4
Direct
0.000 0.000 0.000 Zr
0.750 0.250 0.500 Zr
0.250 0.750 0.500 Nb
0.500 0.500 0.000 Nb
0.137 0.625 0.012 I
0.375 0.387 0.512 I
0.613 0.125 0.988 I
0.875 0.863 0.488 I

Of them, version i has the highest stability.

Version i
ZrNb2I (GGA-PBE, optimized geometry); space group = Fm-3m, No. 225
1.0
0.000 3.426 3.426
3.426 0.000 3.426
3.426 3.426 0.000
Zr Nb I
1 2 1
Direct
0.000 0.000 0.000 Zr
0.250 0.250 0.250 Nb
0.750 0.750 0.750 Nb
0.500 0.500 0.500 I

Version ii
ZrNb2I (GGA-PBE, optimized geometry); space group = I-42d, No. 122
1.0
-2.059 2.059 10.347
2.059 -2.059 10.347
2.059 2.059 -10.347
Zr Nb I
2 4 2
Direct
0.000 0.000 0.000 Zr
0.750 0.250 0.500 Zr
0.130 0.625 0.005 Nb
0.375 0.380 0.505 Nb
0.620 0.125 0.995 Nb
0.875 0.870 0.495 Nb
0.250 0.750 0.500 I
0.500 0.500 0.000 I

Of them, version i has the highest stability.

Version i
Zr2NbI2 (GGA-PBE, optimized geometry); space group = P4/mbm, No. 127
1.0
8.291 0.000 0.000
0.000 8.291 0.000
0.000 0.000 3.443
Zr Nb I
4 2 4
Direct
0.155 0.345 0.000 Zr
0.345 0.845 0.000 Zr
0.655 0.155 0.000 Zr
0.845 0.655 0.000 Zr
0.000 0.000 0.000 Nb
0.500 0.500 0.000 Nb
0.144 0.644 0.500 I
0.356 0.144 0.500 I
0.644 0.856 0.500 I
0.856 0.356 0.500 I

Version ii
Zr2NbI2 (GGA-PBE, optimized geometry); space group = I4/mmm, No. 139
1.0
-2.189 2.189 7.105
2.189 -2.189 7.105
2.189 2.189 -7.105
Zr Nb I
2 1 2
Direct
0.103 0.103 0.000 Zr
0.897 0.897 0.000 Zr
0.500 0.500 0.000 Nb
0.250 0.750 0.500 I
0.750 0.250 0.500 I

Of them, version i has the highest stability.

Version i
NdPI (GGA-PBE, optimized geometry); space group = P-1, No. 2
1.0
4.176 0.000 0.000
1.948 4.606 0.000
0.097 2.203 11.547
Nd P I
2 2 2
Direct
0.160 0.191 0.136 Nd
0.840 0.809 0.864 Nd
0.480 0.626 0.069 P
0.520 0.374 0.931 P
0.193 0.138 0.680 I
0.807 0.862 0.320 I

Version ii
NdPI (GGA-PBE, optimized geometry); space group = I4mm, No. 107
1.0
-1.978 1.978 5.655
1.978 -1.978 5.655
1.978 1.978 -5.655
Nd P I
1 1 1
Direct
0.000 0.000 0.000 Nd
0.572 0.572 0.000 P
0.305 0.305 0.000 I

Of them, version i has the highest stability.

Version i
PmNdI (GGA-PBE, optimized geometry); space group = P3m1, No. 156
1.0
3.930 0.000 0.000
-1.965 3.404 0.000
0.000 0.000 7.837
Pm Nd I
1 1 1
Direct
0.000 0.000 0.000 Pm
0.333 0.667 0.644 Nd
0.667 0.333 0.319 I

Version ii
PmNdI (GGA-PBE, optimized geometry); space group = I4mm, No. 107
1.0
-1.879 1.879 7.217
1.879 -1.879 7.217
1.879 1.879 -7.217
Pm Nd I
1 1 1
Direct
0.000 0.000 0.000 Pm
0.676 0.676 0.000 Nd
0.340 0.340 0.000 I

Of them, version i has the highest stability.

Version i
PmNd2I (GGA-PBE, optimized geometry); space group = R-3m, No. 166
1.0
1.915 1.106 10.836
-1.915 1.106 10.836
0.000 -2.211 10.836
Pm Nd I
1 2 1
Direct
0.000 0.000 0.000 Pm
0.245 0.245 0.245 Nd
0.755 0.755 0.755 Nd
0.500 0.500 0.500 I

Version ii
PmNd2I (GGA-PBE, optimized geometry); space group = P4/mmm, No. 123
1.0
3.730 0.000 0.000
0.000 3.730 0.000
0.000 0.000 9.821
Pm Nd I
1 2 1
Direct
0.000 0.000 0.000 Pm
0.500 0.500 0.259 Nd
0.500 0.500 0.741 Nd
0.000 0.000 0.500 I

Of them, version i has the highest stability.

Version i
PmNdI2 (GGA-PBE, optimized geometry); space group = R-3m, No. 166
1.0
1.928 1.113 9.922
-1.928 1.113 9.922
0.000 -2.227 9.922
Pm Nd I
1 1 2
Direct
0.000 0.000 0.000 Pm
0.500 0.500 0.500 Nd
0.250 0.250 0.250 I
0.750 0.750 0.750 I

Version ii
PmNdI2 (GGA-PBE, optimized geometry); space group = R3m, No. 160
1.0
1.946 1.124 9.698
-1.946 1.124 9.698
0.000 -2.248 9.698
Pm Nd I
1 1 2
Direct
0.000 0.000 0.000 Pm
0.163 0.163 0.163 Nd
0.582 0.582 0.582 I
0.747 0.747 0.747 I

Of them, version ii has the highest stability.

Version i
PmNdI6 (GGA-PBE, optimized geometry); space group = R-3, No. 148
1.0
3.893 2.247 7.060
-3.893 2.247 7.060
0.000 -4.495 7.060
Pm Nd I
1 1 6
Direct
0.000 0.000 0.000 Pm
0.500 0.500 0.500 Nd
0.086 0.751 0.412 I
0.249 0.588 0.914 I
0.412 0.086 0.751 I
0.588 0.914 0.249 I
0.751 0.412 0.086 I
0.914 0.249 0.588 I

Version ii
PmNdI6 (GGA-PBE, optimized geometry); space group = C2/m, No. 12
1.0
3.838 -7.362 0.000
3.838 7.362 0.000
-2.377 0.000 7.299
Pm Nd I
1 1 6
Direct
0.000 0.000 0.000 Pm
0.500 0.500 0.500 Nd
0.101 0.396 0.249 I
0.249 0.249 0.750 I
0.396 0.101 0.249 I
0.604 0.899 0.751 I
0.751 0.751 0.250 I
0.899 0.604 0.751 I

Of them, version ii has the highest stability.

Version i
PmNd2I6 (GGA-PBE, optimized geometry); space group = P4_2/mnm, No. 136
1.0
7.996 0.000 0.000
0.000 7.996 0.000
0.000 0.000 12.111
Pm Nd I
2 4 12
Direct
0.000 0.000 0.000 Pm
0.500 0.500 0.500 Pm
0.000 0.000 0.335 Nd
0.000 0.000 0.665 Nd
0.500 0.500 0.165 Nd
0.500 0.500 0.835 Nd
0.215 0.215 0.166 I
0.215 0.215 0.834 I
0.219 0.219 0.500 I
0.281 0.719 0.000 I
0.285 0.715 0.334 I
0.285 0.715 0.666 I
0.715 0.285 0.334 I
0.715 0.285 0.666 I
0.719 0.281 0.000 I
0.781 0.781 0.500 I
0.785 0.785 0.166 I
0.785 0.785 0.834 I

Version ii
PmNd2I6 (GGA-PBE, optimized geometry); space group = C2/m, No. 12
1.0
10.194 -2.113 0.000
10.194 2.113 0.000
-3.589 0.000 8.874
Pm Nd I
1 2 6
Direct
0.000 0.000 0.000 Pm
0.327 0.327 0.651 Nd
0.673 0.673 0.349 Nd
0.163 0.163 0.589 I
0.165 0.165 0.090 I
0.498 0.498 0.753 I
0.502 0.502 0.247 I
0.835 0.835 0.910 I
0.837 0.837 0.411 I

Of them, version ii has the highest stability.

Version i
Pm2NdI (GGA-PBE, optimized geometry); space group = P4/mmm, No. 123
1.0
3.718 0.000 0.000
0.000 3.718 0.000
0.000 0.000 9.793
Pm Nd I
2 1 1
Direct
0.000 0.000 0.240 Pm
0.000 0.000 0.760 Pm
0.500 0.500 0.500 Nd
0.500 0.500 0.000 I

Version ii
Pm2NdI (GGA-PBE, optimized geometry); space group = R3m, No. 160
1.0
1.919 1.108 10.784
-1.919 1.108 10.784
0.000 -2.216 10.784
Pm Nd I
2 1 1
Direct
0.000 0.000 0.000 Pm
0.179 0.179 0.179 Pm
0.422 0.422 0.422 Nd
0.589 0.589 0.589 I

Of them, version ii has the highest stability.

Version i
Pr2NdI (GGA-PBE, optimized geometry); space group = R-3m, No. 166
1.0
1.852 1.069 12.051
-1.852 1.069 12.051
0.000 -2.139 12.051
Pr Nd I
2 1 1
Direct
0.095 0.095 0.095 Pr
0.905 0.905 0.905 Pr
0.000 0.000 0.000 Nd
0.500 0.500 0.500 I

Version ii
Pr2NdI (GGA-PBE, optimized geometry); space group = R3m, No. 160
1.0
1.937 1.118 10.950
-1.937 1.118 10.950
0.000 -2.237 10.950
Pr Nd I
2 1 1
Direct
0.000 0.000 0.000 Pr
0.178 0.178 0.178 Pr
0.756 0.756 0.756 Nd
0.589 0.589 0.589 I

Of them, version ii has the highest stability.

Version i
PrNdI2 (GGA-PBE, optimized geometry); space group = R3m, No. 160
1.0
1.956 1.130 9.794
-1.956 1.130 9.794
0.000 -2.259 9.794
Pr Nd I
1 1 2
Direct
0.000 0.000 0.000 Pr
0.837 0.837 0.837 Nd
0.251 0.251 0.251 I
0.419 0.419 0.419 I

Version ii
PrNdI2 (GGA-PBE, optimized geometry); space group = Fm-3m, No. 225
1.0
0.000 3.912 3.912
3.912 0.000 3.912
3.912 3.912 0.000
Pr Nd I
1 1 2
Direct
0.000 0.000 0.000 Pr
0.500 0.500 0.500 Nd
0.250 0.250 0.250 I
0.750 0.750 0.750 I

Of them, version i has the highest stability.